{"formula": "ZrFe2Sn", "functional": "GGA-PBE", "state": "relaxed", "lattice_angstrom": [[-3.561, 3.561, 2.788], [3.561, -3.561, 2.788], [3.561, 3.561, -2.788]], "species": ["Zr", "Zr", "Fe", "Fe", "Fe", "Fe", "Sn", "Sn"], "fractional_positions": [[0.000, 0.000, 0.000], [0.750, 0.250, 0.500], [0.128, 0.625, 0.003], [0.375, 0.378, 0.503], [0.622, 0.125, 0.997], [0.875, 0.872, 0.497], [0.250, 0.750, 0.500], [0.500, 0.500, 0.000]], "dos_ef_per_ev_atom": 0.965, "total_magnetization_mub_per_atom": 1.02, "e_form_kj_per_mol_atoms": 44.9}